Material: Sr2BTeIr
Method: DFT, PBE
State: relaxed

POSCAR file:
```
Sr2BTeIr
1.0
5.836 0.000 0.000
0.000 5.836 0.000
0.000 0.000 4.120
Ir Te Sr B
1 1 2 1
direct
0.000 0.000 0.000 Ir
0.500 0.500 0.500 Te
0.500 0.000 0.000 Sr
0.000 0.500 0.000 Sr
0.000 0.000 0.500 B
```

## Properties
The total moment comes out at 0.0 Bohr magnetons per cell. As for the total energy: -4.918 eV/atom. The energy above the most stable polymorph in this dataset is 0.207 eV per formula unit. The formation energy (no corrections) comes out at -0.5090 eV/atom.


Material: Sr2BTeIr
Method: DFT, PBE
State: relaxed

POSCAR file:
```
Sr2BTeIr
1.0
5.702 0.000 0.000
0.000 5.702 0.000
0.000 0.000 4.019
Sr Ir B Te
2 1 1 1
direct
0.500 0.000 0.000 Sr
0.000 0.500 0.000 Sr
0.000 0.000 0.500 Ir
0.000 0.000 0.000 B
0.500 0.500 0.500 Te
```

## Properties
The total moment comes out at 0.0 Bohr magnetons per cell. As for the total energy: -4.959 eV/atom. The energy above the most stable polymorph in this dataset is 0.000 eV per formula unit. The formation energy (no corrections) comes out at -0.5505 eV/atom.


Material: SrTlBIr2
Method: DFT, PBE
State: relaxed

POSCAR file:
```
SrTlBIr2
1.0
4.271 0.000 0.000
0.000 5.171 0.000
0.000 0.000 4.271
Tl B Sr Ir
1 1 1 2
direct
0.500 0.500 0.500 Tl
0.000 0.000 0.000 B
0.000 0.500 0.000 Sr
0.500 0.000 0.000 Ir
0.000 0.000 0.500 Ir
```

## Properties
The total moment comes out at 0.0 Bohr magnetons per cell. As for the total energy: -5.557 eV/atom. The formation energy is 0.132 eV/atom.


Material: SrZn2BIr2
Method: DFT, PBE
State: relaxed

POSCAR file:
```
SrZn2BIr2
1.0
4.180 0.000 0.000
0.000 4.180 0.000
0.000 0.000 5.849
Sr Ir Zn B
1 2 2 1
direct
0.000 0.000 0.500 Sr
0.000 0.500 0.000 Ir
0.500 0.000 0.000 Ir
0.500 0.500 0.277 Zn
0.500 0.500 0.723 Zn
0.000 0.000 0.000 B
```

## Properties
The total moment comes out at 0.0 Bohr magnetons per cell. As for the total energy: -5.199 eV/atom. The formation energy is -0.428 eV/atom.


Material: Ta2B2Ir
Method: DFT, PBE
State: relaxed

POSCAR file:
```
Ta2B2Ir
1.0
2.923 0.000 0.000
0.000 2.923 0.000
1.462 1.462 7.530
Ta B Ir
2 2 1
direct
0.376 0.376 0.247 Ta
0.624 0.624 0.753 Ta
0.250 0.750 0.500 B
0.750 0.250 0.500 B
0.000 0.000 0.000 Ir
```

## Properties
The total moment comes out at 0.0 Bohr magnetons per cell. As for the total energy: -9.388 eV/atom. The energy above the most stable polymorph in this dataset is 2.502 eV per formula unit. The formation energy is -0.203 eV/atom.


Material: Ta4B2Ir5
Method: DFT, PBE
State: relaxed

POSCAR file:
```
Ta4B2Ir5
1.0
3.082 0.000 0.000
0.000 6.393 -0.162
0.000 -0.827 8.038
Ir Ta B
5 4 2
direct
0.000 0.551 0.333 Ir
0.000 0.846 0.852 Ir
0.000 0.449 0.667 Ir
0.000 0.500 0.000 Ir
0.000 0.154 0.148 Ir
0.500 0.783 0.566 Ta
0.500 0.811 0.162 Ta
0.500 0.189 0.838 Ta
0.500 0.217 0.434 Ta
0.000 0.934 0.393 B
0.000 0.066 0.607 B
```

## Properties
The total moment comes out at 0.0 Bohr magnetons per cell. As for the total energy: -10.134 eV/atom. The formation energy is -0.582 eV/atom.


Material: Ta2B2Ir
Method: DFT, PBE
State: relaxed

POSCAR file:
```
Ta2B2Ir
1.0
-5.674 3.269 -2.103
0.307 -3.333 -6.009
-1.588 -2.070 1.067
Ta B Ir
4 4 2
direct
0.144 0.356 0.000 Ta
0.856 0.644 0.000 Ta
0.356 0.856 0.000 Ta
0.644 0.144 0.000 Ta
0.841 0.341 0.500 B
0.341 0.159 0.500 B
0.659 0.841 0.500 B
0.159 0.659 0.500 B
0.500 0.500 0.000 Ir
0.000 0.000 0.000 Ir
```

## Properties
The total moment comes out at 0.0 Bohr magnetons per cell. As for the total energy: -8.746 eV/atom. The energy above the most stable polymorph in this dataset is 5.709 eV per formula unit. The formation energy is 0.438 eV/atom.


Material: Ta2B2Ir
Method: DFT, PBE
State: relaxed

POSCAR file:
```
Ta2B2Ir
1.0
3.048 0.000 1.366
0.833 4.146 2.225
-0.305 0.223 4.764
B Ir Ta
2 1 2
direct
0.500 0.312 0.688 B
0.500 0.688 0.312 B
0.000 0.000 0.000 Ir
0.796 0.704 0.704 Ta
0.204 0.296 0.296 Ta
```

## Properties
The total moment comes out at 0.0 Bohr magnetons per cell. As for the total energy: -9.888 eV/atom. The energy above the most stable polymorph in this dataset is 0.000 eV per formula unit. The formation energy is -0.704 eV/atom.


How do the records compare in ρ? In the order shown, they have 5.986; 6.429; 12.100; 9.974; 14.858; 17.942; 14.336; 15.756 g/cm3.